Entry 1:
The following is a DFT calculation (PBEsol) of an optimized crystal structure of FeCo2Rh.

The value obtained for the volume is 11.417 Å³ per atom. The calculation puts the excess energy over the best structure of this formula in the dataset at 0.0124 eV/atom. The density of states at the Fermi level comes out at 6.3 states/eV per cell. The value obtained for the formation enthalpy at 0 K is 0.068 eV per atom.

Cell and atoms, written as POSCAR:
```
FeCo2Rh
1.0
2.568 0.000 0.000
0.000 3.476 0.000
0.000 0.000 5.117
Co Rh Fe
2 1 1
Cartesian
1.284 0.000 0.096
0.000 1.738 1.246
0.000 1.738 3.842
1.284 0.000 2.492
```

---

Entry 2:
The following is a DFT calculation (PBEsol) of an optimized crystal structure of Fe2CoRh.

The value obtained for the volume is 11.879 Å³ per atom. The calculation puts the excess energy over the best structure of this formula in the dataset at 0.0251 eV/atom. The density of states at the Fermi level comes out at 4.2 states/eV per cell. The value obtained for the formation enthalpy at 0 K is 0.076 eV per atom.

Cell and atoms, written as POSCAR:
```
Fe2CoRh
1.0
-1.157 2.499 0.689
-3.703 -1.378 -1.222
1.705 -1.928 4.006
Fe Rh Co
2 1 1
Cartesian
-0.376 -0.708 1.938
-2.779 -0.097 1.535
-0.579 1.250 0.345
-1.852 -0.689 -0.611
```

---

Entry 3:
The following is a DFT calculation (PBEsol) of an optimized crystal structure of Fe2CoRh.

The value obtained for the volume is 11.868 Å³ per atom. The calculation puts the excess energy over the best structure of this formula in the dataset at 0.0981 eV/atom. The density of states at the Fermi level comes out at 5.0 states/eV per cell. The value obtained for the formation enthalpy at 0 K is 0.149 eV per atom.

Cell and atoms, written as POSCAR:
```
Fe2CoRh
1.0
2.520 0.008 0.000
-0.993 2.316 0.000
0.000 0.000 8.121
Co Rh Fe
1 1 2
Cartesian
0.764 1.162 1.927
0.000 0.000 4.067
0.000 0.000 0.017
0.764 1.162 6.171
```

---

Entry 4:
The following is a DFT calculation (PBEsol) of an optimized crystal structure of Fe2CoRh.

The value obtained for the volume is 11.687 Å³ per atom. The calculation puts the excess energy over the best structure of this formula in the dataset at 0.0597 eV/atom. The density of states at the Fermi level comes out at 6.5 states/eV per cell. The value obtained for the formation enthalpy at 0 K is 0.110 eV per atom.

Cell and atoms, written as POSCAR:
```
Fe2CoRh
1.0
-0.681 2.244 1.075
-0.894 0.053 2.419
7.036 1.731 3.937
Co Rh Fe
1 1 2
Cartesian
0.000 0.000 0.000
2.731 2.014 3.716
1.284 0.997 1.828
4.177 3.032 5.603
```

---

Entry 5:
The following is a DFT calculation (PBEsol) of an optimized crystal structure of FeCo2Rh.

The value obtained for the volume is 11.614 Å³ per atom. The calculation puts the excess energy over the best structure of this formula in the dataset at 0.0149 eV/atom. The density of states at the Fermi level comes out at 3.6 states/eV per cell. The value obtained for the formation enthalpy at 0 K is 0.071 eV per atom.

Cell and atoms, written as POSCAR:
```
FeCo2Rh
1.0
2.794 0.000 0.000
0.000 2.794 0.000
0.000 0.000 5.950
Fe Co Rh
1 2 1
Cartesian
1.397 1.397 0.000
0.000 0.000 1.355
0.000 0.000 4.595
1.397 1.397 2.975
```

---

Entry 6:
The following is a DFT calculation (PBEsol) of an optimized crystal structure of FeCo2Rh.

The value obtained for the volume is 11.746 Å³ per atom. The calculation puts the excess energy over the best structure of this formula in the dataset at 0.1179 eV/atom. The density of states at the Fermi level comes out at 4.8 states/eV per cell. The value obtained for the formation enthalpy at 0 K is 0.174 eV per atom.

Cell and atoms, written as POSCAR:
```
FeCo2Rh
1.0
-0.964 -1.723 -1.555
-0.236 -0.587 2.432
-7.175 3.811 0.223
Co Fe Rh
2 1 1
Cartesian
-5.291 2.810 0.164
-1.884 1.001 0.059
-4.187 0.750 0.550
-0.600 -1.155 0.439
```

---

no.,E_tot (eV/atom)
1,-8.076
2,-8.375
3,-8.302
4,-8.340
5,-8.073
6,-7.970